Material: InFe2Cl
Method: DFT, GGA-PBEsol
State: relaxed

Mass density   6.24 g/cm3
D(E_F)   2.52 states/eV/f.u.
Raw total energy   -21.7 eV/cell
Volume   17.44 Å³/atom

abc: 5.9211 5.9211 5.9211
angles: 150.92 135.95 53.65
Closest atoms and distances in Å follow each position.
Atoms (fractional coordinates):
In  0.0000  0.0000  0.0000  6 Fe 2.66-2.69, 2 In 2.97
Fe  0.4675  0.4675  0.0000  2 Fe 2.34, 2 Cl 2.50
Fe  0.6380  0.1380  0.5000  2 Fe 2.34
Cl  0.2777  0.7777  0.5000  2 Fe 2.50